First-principles (PBE-GGA) data for crystalline SrCrAs4 at its relaxed geometry, as listed in Alexandria via LeMat-Bulk.

- Volume: 22.3 Å³/atom
- DFT total energy: -117.62 eV/cell

Unit cell a=8.113 b=8.113 c=8.113 alpha=90.00 beta=90.00 gamma=90.00
Space group F-43m (No. 216)
Asymmetric unit:
1 Sr 0.000 0.000 0.000 [4 per cell]
2 Cr 0.250 0.250 0.250 [4 per cell]
3 As 0.123 0.123 0.623 [16 per cell]

---

First-principles (PBE-GGA) data for crystalline LiPtCl at its relaxed geometry, as listed in Alexandria via LeMat-Bulk.

- Formation energy (no corrections): -0.2341 eV/atom
- Energy above the most stable polymorph in this dataset: 593 meV per atom
- Volume: 20.3 Å³/atom
- DFT total energy: -21.01 eV/cell

Unit cell a=3.8476 b=3.8476 c=9.4796 alpha=90.00 beta=90.00 gamma=120.00
Space group P6_3/mmc (No. 194)
Asymmetric unit:
1 Li 0.3333 0.6667 0.2500 [2 per cell]
2 Pt 0.0000 0.0000 0.0000 [2 per cell]
3 Cl 0.0000 0.0000 0.2500 [2 per cell]

---

First-principles (PBE-GGA) data for crystalline In2Se at its relaxed geometry, as listed in Alexandria via LeMat-Bulk.

- Formation energy (no corrections): -0.1589 eV/atom
- Energy above the most stable polymorph in this dataset: 145 meV per atom
- Volume: 27.3 Å³/atom
- DFT total energy: -18.88 eV/cell

Unit cell a=5.3815 b=5.3815 c=6.5225 alpha=90.00 beta=90.00 gamma=120.00
Space group P6_3/mmc (No. 194)
Asymmetric unit:
1 In 0.0000 0.0000 0.0000 [2 per cell]
2 In 0.3333 0.6667 0.2500 [2 per cell]
3 Se 0.3333 0.6667 0.7500 [2 per cell]